No. 1
DFT (PBE) results for a relaxed NpZnBiAu crystal.

Computed properties:
E_form = 0.041 eV per atom

Cell: 5.091 5.091 5.091 Å, 60.00 60.00 60.00°
Sites, in units of the cell vectors:
Np1 0.500 0.500 0.500
Zn1 0.750 0.750 0.750
Au1 0.250 0.250 0.250
Bi1 0.000 0.000 0.000

***

No. 2
DFT (PBE) results for a relaxed Bi2AuO6 crystal.

Computed properties:
formation energy from raw total energies = -0.613 eV per atom

Cell: 5.681 5.860 8.888 Å, 90.00 90.08 90.00°
Sites, in units of the cell vectors:
Bi1 0.000 0.499 0.793
Bi2 0.500 0.999 0.707
Bi3 0.500 0.001 0.293
Bi4 0.000 0.501 0.207
Au1 0.500 0.500 0.000
Au2 0.000 0.000 0.500
O1 0.842 0.807 0.336
O2 0.843 0.804 0.663
O3 0.814 0.669 0.000
O4 0.686 0.169 0.500
O5 0.657 0.304 0.837
O6 0.658 0.307 0.164
O7 0.158 0.193 0.664
O8 0.157 0.196 0.337
O9 0.186 0.331 0.000
O10 0.314 0.831 0.500
O11 0.343 0.696 0.163
O12 0.342 0.693 0.836

***

No. 3
DFT (PBE) results for a relaxed Bi4Au3O12 crystal.

Computed properties:
formation energy from raw total energies = -0.697 eV per atom

Cell: 7.263 7.263 7.263 Å, 109.47 109.47 109.47°
Sites, in units of the cell vectors:
Bi1 0.000 0.000 0.500
Bi2 0.500 0.500 0.500
Bi3 0.500 0.000 0.000
Bi4 0.000 0.500 0.000
Au1 0.500 0.000 0.500
Au2 0.500 0.500 0.000
Au3 0.000 0.500 0.500
O1 0.673 0.504 0.831
O2 0.327 0.496 0.169
O3 0.327 0.158 0.831
O4 0.504 0.831 0.673
O5 0.831 0.327 0.158
O6 0.169 0.327 0.496
O7 0.158 0.831 0.327
O8 0.169 0.673 0.842
O9 0.673 0.842 0.169
O10 0.496 0.169 0.327
O11 0.831 0.673 0.504
O12 0.842 0.169 0.673

***

No. 4
DFT (PBE) results for a relaxed Bi3AuO6 crystal.

Computed properties:
formation energy from raw total energies = -0.928 eV per atom

Cell: 5.739 8.111 8.111 Å, 113.61 90.00 90.00°
Sites, in units of the cell vectors:
Bi1 0.464 0.885 0.637
Bi2 0.964 0.637 0.885
Bi3 0.516 0.412 0.588
Bi4 0.016 0.588 0.412
Bi5 0.964 0.115 0.363
Bi6 0.464 0.363 0.115
Au1 0.090 0.197 0.803
Au2 0.590 0.803 0.197
O1 0.253 0.656 0.650
O2 0.753 0.650 0.656
O3 0.109 0.427 0.033
O4 0.609 0.033 0.427
O5 0.812 0.917 0.083
O6 0.914 0.328 0.672
O7 0.414 0.672 0.328
O8 0.312 0.083 0.917
O9 0.109 0.967 0.573
O10 0.609 0.573 0.967
O11 0.253 0.350 0.344
O12 0.753 0.344 0.350

***

No. 5
DFT (PBE) results for a relaxed BiAu2O crystal.

Computed properties:
formation energy from raw total energies = 0.021 eV per atom

Cell: 7.672 7.672 5.999 Å, 50.25 50.25 90.00°
Sites, in units of the cell vectors:
Au1 0.574 0.125 0.250
Au2 0.176 0.625 0.250
Au3 0.375 0.426 0.750
Au4 0.875 0.824 0.750
Bi1 0.000 0.000 0.000
Bi2 0.750 0.250 0.500
O1 0.500 0.500 0.000
O2 0.250 0.750 0.500

***

No. 6
DFT (PBE) results for a relaxed BiAuO3 crystal.

Computed properties:
formation energy from raw total energies = -0.599 eV per atom

Cell: 3.922 3.922 11.658 Å, 90.00 90.00 119.33°
Sites, in units of the cell vectors:
Bi1 0.024 0.024 0.500
Bi2 0.024 0.024 0.000
Au1 0.367 0.680 0.250
Au2 0.680 0.367 0.750
O1 0.360 0.688 0.423
O2 0.360 0.688 0.077
O3 0.949 0.099 0.250
O4 0.688 0.360 0.923
O5 0.688 0.360 0.577
O6 0.099 0.949 0.750

***

No. 7
DFT (PBE) results for a relaxed Bi5Au2O12 crystal.

Computed properties:
formation energy from raw total energies = -0.748 eV per atom

Cell: 6.356 7.213 7.444 Å, 106.08 90.00 116.14°
Sites, in units of the cell vectors:
Bi1 0.296 0.592 0.645
Bi2 0.309 0.618 0.174
Bi3 0.000 0.000 0.500
Bi4 0.691 0.382 0.826
Bi5 0.704 0.408 0.355
Au1 0.752 0.000 0.000
Au2 0.248 0.000 0.000
O1 0.000 0.001 0.186
O2 0.102 0.670 0.910
O3 0.568 0.670 0.910
O4 0.093 0.704 0.416
O5 0.611 0.704 0.416
O6 0.501 0.001 0.813
O7 0.499 0.999 0.187
O8 0.907 0.296 0.584
O9 0.389 0.296 0.584
O10 0.898 0.330 0.090
O11 0.432 0.330 0.090
O12 0.000 0.999 0.814

***

No. 8
DFT (PBE) results for a relaxed BiAuO3 crystal.

Computed properties:
formation energy from raw total energies = -0.083 eV per atom

Cell: 4.117 4.117 4.117 Å, 90.00 90.00 90.00°
Sites, in units of the cell vectors:
Au1 0.000 0.000 0.000
Bi1 0.500 0.500 0.500
O1 0.000 0.500 0.000
O2 0.000 0.000 0.500
O3 0.500 0.000 0.000